[1]
The following is a PBE calculation of a relaxed structure of Mg2ScV3S8, from Alexandria.

The structure in extended XYZ format:
```
14
Lattice="3.6564 2.1110 5.9943 -3.6564 2.1110 5.9943 0.0000 -4.2221 5.9943" Properties=species:S:1:pos:R:3 pbc="T T T"
Mg 0.0000 0.0000 2.2548
Mg 0.0000 0.0000 15.7280
Sc 0.0000 0.0000 8.9914
V -1.8282 -1.0555 5.9943
V -1.8282 1.0555 11.9885
V 0.0000 2.1110 5.9942
S 0.0000 -1.9714 7.3494
S -1.7073 0.9857 7.3494
S 0.0000 0.0000 4.7099
S -1.7073 -0.9857 10.6334
S 1.7073 0.9857 7.3494
S 0.0000 0.0000 13.2729
S 1.7073 -0.9857 10.6334
S 0.0000 1.9714 10.6334
```

Output
The density of states at the Fermi level comes out at 0.961 states/eV/atom. The uncorrected formation energy comes out at -1.1719 eV per atom. The calculated density is 3.0 g/cm³.

***

[2]
The following is a PBE calculation of a relaxed structure of LaPaRh, from Alexandria.

The structure in extended XYZ format:
```
3
Lattice="4.5275 0.0000 0.0000 -2.2637 3.9209 0.0000 0.0000 0.0000 4.6154" Properties=species:S:1:pos:R:3 pbc="T T T"
La 0.0000 0.0000 0.0000
Pa 2.2637 1.3070 2.3077
Rh 0.0000 2.6139 2.3077
```

Output
The energy relative to the elements comes out at -0.23 eV per atom. The density of states at the Fermi level comes out at 1.640 states/eV/atom. The calculated density is 9.6 g/cm³.

***

- Number 1 is which compound?
  Mg2ScV3S8

***

- Which value of calculated density does entry 1 give?
  3.0 g/cm³